Record 1
Compound: Li2ScCl
Source: Alexandria via LeMat-Bulk
Functional: PBEsol
Structure: optimized geometry

Structure (POSCAR):
```
Li2ScCl
1.0
-0.750 4.664 -0.662
0.047 1.821 -4.408
-4.059 1.502 -2.003
Li Cl Sc
2 1 1
Cartesian
-3.571 5.990 -5.305
0.000 0.000 0.000
-2.381 3.993 -3.536
-1.190 1.997 -1.768
```

Values from the calculation:
Calculated volume in Å³/atom: 19.2
N(E_F) in states/eV per cell: 4.72
Distance to the lowest polymorph of the same formula in eV per formula unit: 1.95
Crystal system: cubic
DFT total energy in eV/cell: -12.8

***

Record 2
Compound: AlW2Se
Source: Alexandria via LeMat-Bulk
Functional: PBEsol
Structure: optimized geometry

Structure (POSCAR):
```
AlW2Se
1.0
3.092 0.000 0.000
0.000 4.610 0.003
-1.546 -1.308 4.296
Se W Al
1 2 1
Cartesian
0.000 2.879 2.174
1.546 0.733 2.162
1.546 3.149 4.289
0.000 0.840 4.268
```

Values from the calculation:
Calculated volume in Å³/atom: 15.3
N(E_F) in states/eV per cell: 2.77
Distance to the lowest polymorph of the same formula in eV per formula unit: 0.43
Crystal system: monoclinic
DFT total energy in eV/cell: -34.6

***

Record 3
Compound: Be3Sb
Source: Alexandria via LeMat-Bulk
Functional: PBEsol
Structure: optimized geometry

Structure (POSCAR):
```
Be3Sb
1.0
3.630 0.000 0.000
-1.815 3.593 -0.015
0.000 -0.407 4.210
Be Sb
3 1
Cartesian
1.815 1.981 1.747
1.815 -0.204 2.105
0.000 1.204 2.449
0.000 0.000 0.000
```

Values from the calculation:
Calculated volume in Å³/atom: 13.7
N(E_F) in states/eV per cell: 0.91
Distance to the lowest polymorph of the same formula in eV per formula unit: 0.00
Crystal system: monoclinic
DFT total energy in eV/cell: -15.0

***

Record 4
Compound: Li4MnCu3P4O16
Source: Alexandria via LeMat-Bulk
Functional: PBEsol
Structure: optimized geometry

Structure (POSCAR):
```
Li4MnCu3P4O16
1.0
-4.442 0.315 1.508
-1.176 -5.481 -2.320
2.556 -4.167 8.551
Cu P O Li Mn
3 4 16 4 1
Cartesian
-0.028 -3.910 1.318
-0.565 -5.871 6.225
-1.889 -0.724 2.670
-3.193 -4.933 5.342
-2.908 -2.959 0.533
0.463 -3.626 8.334
0.702 -1.665 3.578
-1.018 -5.705 1.385
-0.200 -5.151 4.339
-2.290 -1.446 4.578
0.599 -2.264 5.047
-0.029 -7.755 5.665
-1.243 -6.471 7.986
-1.029 -3.472 8.726
-0.324 -2.473 2.753
-2.184 -4.143 6.241
-1.247 -0.113 0.899
-1.440 -3.079 0.072
0.674 -4.480 7.051
-3.097 -2.091 1.812
-2.989 -4.371 3.910
-3.577 -4.326 0.866
-2.670 -6.407 5.282
-0.887 -4.095 -1.645
-1.300 -3.301 4.336
-1.865 -5.934 3.222
-0.318 -1.444 -0.523
-2.425 -2.681 7.565
```

Values from the calculation:
Calculated volume in Å³/atom: 10.0
N(E_F) in states/eV per cell: 6.06
Crystal system: monoclinic
DFT total energy in eV/cell: -190.6

***

Record 5
Compound: Ti2AlO4
Source: Alexandria via LeMat-Bulk
Functional: PBEsol
Structure: optimized geometry

Structure (POSCAR):
```
Ti2AlO4
1.0
5.849 0.000 0.000
2.924 5.065 0.000
2.924 1.688 4.776
O Ti Al
8 4 2
Cartesian
7.333 5.897 4.170
4.408 2.545 1.800
7.289 2.545 1.800
5.849 3.377 4.152
8.773 5.065 1.818
8.773 3.402 4.170
10.214 5.897 4.170
5.849 5.040 1.800
2.924 3.377 0.597
2.924 1.688 2.985
4.387 0.844 0.597
1.462 0.844 0.597
5.849 3.377 2.388
8.773 5.065 3.582
```

Values from the calculation:
Calculated volume in Å³/atom: 10.1
N(E_F) in states/eV per cell: 6.60
Crystal system: cubic
DFT total energy in eV/cell: -123.1

***

Record 6
Compound: AlCuHg
Source: Alexandria via LeMat-Bulk
Functional: PBEsol
Structure: optimized geometry

Structure (POSCAR):
```
AlCuHg
1.0
3.421 0.000 0.000
0.000 3.461 0.000
-1.710 -1.731 4.040
Al Cu Hg
1 1 1
Cartesian
1.710 1.731 3.997
0.000 0.000 2.722
1.710 1.731 1.360
```

Values from the calculation:
ΔE_f in meV/atom: 42
Calculated volume in Å³/atom: 15.9
N(E_F) in states/eV per cell: 0.71
Crystal system: orthorhombic
DFT total energy in eV/cell: -8.9

***

Record 7
Compound: Mg2AlSb
Source: Alexandria via LeMat-Bulk
Functional: PBEsol
Structure: optimized geometry

Structure (POSCAR):
```
Mg2AlSb
1.0
3.338 0.000 0.038
0.000 4.101 0.000
-0.065 0.000 6.255
Mg Sb Al
2 1 1
Cartesian
3.289 0.000 4.660
-0.016 0.000 1.634
1.669 2.051 0.019
1.636 2.051 3.147
```

Values from the calculation:
Calculated volume in Å³/atom: 21.4
N(E_F) in states/eV per cell: 1.65
Distance to the lowest polymorph of the same formula in eV per formula unit: 0.04
Crystal system: orthorhombic
DFT total energy in eV/cell: -12.3

***

Record 8
Compound: Ag4HgGe2S7
Source: Alexandria via LeMat-Bulk
Functional: PBEsol
Structure: optimized geometry

Structure (POSCAR):
```
Ag4HgGe2S7
1.0
-0.074 -6.673 -1.039
8.426 2.868 2.933
-3.379 -1.472 9.697
Hg Ag S Ge
2 8 14 4
Cartesian
4.901 1.470 4.695
3.163 -3.669 8.858
-0.285 -2.755 3.692
6.637 -3.394 6.916
1.461 -5.795 6.052
3.111 -1.690 5.622
-2.002 -5.901 8.165
1.438 -0.903 10.708
8.375 1.723 2.750
3.181 -2.289 1.634
-1.506 -2.018 5.754
5.254 -2.982 4.912
5.368 -2.433 8.917
0.399 -5.143 3.914
3.923 0.301 6.845
5.582 -1.716 1.568
3.321 -4.881 1.695
7.079 0.227 4.368
3.611 0.498 10.416
0.166 -0.444 8.618
1.657 -3.348 6.897
0.135 -5.732 0.213
-1.266 -3.710 9.100
1.837 -1.464 3.497
6.566 -1.790 3.559
1.418 -5.987 2.168
4.901 -0.255 8.761
-0.224 -2.396 7.690
```

Values from the calculation:
Calculated volume in Å³/atom: 21.9
Crystal system: monoclinic
DFT total energy in eV/cell: -115.1